## HoTcOs (PBE)

Data for HoTcOs after structural relaxation.

```
HoTcOs
1.0
8.773 0.000 0.000
0.000 2.648 4.696
0.000 -2.648 4.696
Ho Tc Os
4 4 4
Cartesian
1.597 0.000 0.000 Ho
2.758 0.000 6.286 Ho
6.015 0.000 6.286 Ho
7.176 0.000 0.000 Ho
2.180 0.000 3.142 Tc
4.386 -1.364 3.952 Tc
4.386 1.364 3.952 Tc
6.593 0.000 3.142 Tc
0.000 -1.298 7.034 Os
0.000 0.000 4.795 Os
0.000 1.298 7.034 Os
4.386 0.000 1.523 Os
```

## Properties
electronic total energy: -9.00 eV per atom
ΔH_f (0 K): -0.28 eV per atom



## Sr2Sn3Pb (PBE)

Data for Sr2Sn3Pb after structural relaxation.

```
Sr2Sn3Pb
1.0
0.000 5.323 8.511
4.564 0.000 8.511
4.564 5.323 0.000
Sr Sn Pb
4 6 2
Cartesian
6.857 5.323 8.511 Sr
2.282 2.662 4.255 Sr
6.846 7.985 12.766 Sr
2.271 5.323 8.511 Sr
4.564 2.592 7.078 Sn
4.564 5.323 2.764 Sn
4.564 2.592 9.943 Sn
4.564 8.055 7.078 Sn
4.564 5.323 14.257 Sn
4.564 8.055 9.943 Sn
4.564 5.323 5.743 Pb
4.564 5.323 11.278 Pb
```

## Properties
electronic total energy: -3.57 eV per atom
ΔH_f (0 K): -0.39 eV per atom



## Cr2RuW (PBE)

Data for Cr2RuW after structural relaxation.

```
Cr2RuW
1.0
6.782 0.000 0.000
0.000 6.782 0.000
0.000 0.000 5.061
Cr Ru W
8 4 4
Cartesian
1.627 5.086 0.633 Cr
1.695 1.627 4.428 Cr
1.695 1.764 1.898 Cr
1.764 5.086 3.163 Cr
5.018 1.695 3.163 Cr
5.086 5.018 1.898 Cr
5.086 5.155 4.428 Cr
5.155 1.695 0.633 Cr
0.000 0.000 0.000 Ru
0.000 3.391 1.265 Ru
3.391 0.000 3.795 Ru
3.391 3.391 2.530 Ru
0.000 0.000 2.530 W
0.000 3.391 3.795 W
3.391 0.000 1.265 W
3.391 3.391 0.000 W
```

## Properties
electronic total energy: -9.56 eV per atom
ΔH_f (0 K): 0.81 eV per atom



## Ca2HgBr (PBE)

Data for Ca2HgBr after structural relaxation.

```
Ca2HgBr
1.0
3.789 0.000 0.000
0.000 3.998 0.000
0.000 0.000 16.384
Ca Hg Br
4 2 2
Cartesian
0.000 0.000 0.000 Ca
0.000 1.999 4.396 Ca
1.894 0.000 12.588 Ca
1.894 1.999 8.192 Ca
0.000 1.999 14.019 Hg
1.894 0.000 5.827 Hg
0.000 0.000 9.889 Br
1.894 1.999 1.697 Br
```

## Properties
electronic total energy: -2.35 eV per atom
uncorrected formation energy: -0.854 eV/atom